[1]
! Na2CeI5, relaxed, DFT PBE; values from VASP
&SYSTEM
  ibrav = 0, nat = 32, ntyp = 3
/
ATOMIC_SPECIES
Na 22.99 Na.upf
Ce 140.12 Ce.upf
I 126.90 I.upf
ATOMIC_POSITIONS crystal
Na 0.2204 0.0246 0.1185
Na 0.2204 0.4754 0.1185
Na 0.2796 0.5246 0.6185
Na 0.2796 0.9754 0.6185
Na 0.7204 0.0246 0.3815
Na 0.7204 0.4754 0.3815
Na 0.7796 0.5246 0.8815
Na 0.7796 0.9754 0.8815
Ce 0.0184 0.2500 0.4296
Ce 0.4816 0.7500 0.9296
Ce 0.5184 0.2500 0.0704
Ce 0.9816 0.7500 0.5704
I 0.0625 0.2500 0.0956
I 0.0698 0.0378 0.6876
I 0.0698 0.4622 0.6876
I 0.1749 0.7500 0.3934
I 0.2417 0.2500 0.4127
I 0.2583 0.7500 0.9127
I 0.3251 0.2500 0.8934
I 0.4302 0.5378 0.1876
I 0.4302 0.9622 0.1876
I 0.4375 0.7500 0.5956
I 0.5625 0.2500 0.4044
I 0.5698 0.0378 0.8124
I 0.5698 0.4622 0.8124
I 0.6749 0.7500 0.1066
I 0.7417 0.2500 0.0873
I 0.7583 0.7500 0.5873
I 0.8251 0.2500 0.6066
I 0.9302 0.5378 0.3124
I 0.9302 0.9622 0.3124
I 0.9375 0.7500 0.9044
CELL_PARAMETERS angstrom
14.8005 0.0000 0.0000
0.0000 9.4433 0.0000
0.0000 0.0000 9.3320
! Space group: No. 62
! Fermi-level density of states in states/eV per atom: 1.01
! Formation energy without anion corrections in eV/f.u.: -10.11


[2]
! NaCeI6, relaxed, DFT PBE; values from VASP
&SYSTEM
  ibrav = 0, nat = 8, ntyp = 3
/
ATOMIC_SPECIES
Na 22.99 Na.upf
Ce 140.12 Ce.upf
I 126.90 I.upf
ATOMIC_POSITIONS crystal
Na 0.0000 0.0000 0.0000
Ce 0.5000 0.5000 0.5000
I 0.0762 0.7138 0.7470
I 0.3094 0.1999 0.5619
I 0.3882 0.7277 0.1412
I 0.6118 0.2723 0.8588
I 0.6906 0.8001 0.4381
I 0.9238 0.2862 0.2530
CELL_PARAMETERS angstrom
7.8258 0.0000 0.0000
3.6902 6.9840 0.0000
3.6887 1.4970 6.8471
! Space group: No. 2
! Fermi-level density of states in states/eV per atom: 0.39
! Offset from the most stable computed form in meV/atom: 0
! Formation energy without anion corrections in eV/f.u.: -7.34


[3]
! NaCeI6, relaxed, DFT PBE; values from VASP
&SYSTEM
  ibrav = 0, nat = 8, ntyp = 3
/
ATOMIC_SPECIES
Na 22.99 Na.upf
Ce 140.12 Ce.upf
I 126.90 I.upf
ATOMIC_POSITIONS crystal
Na 0.0000 0.0000 0.0000
Ce 0.6667 0.3333 0.5000
I 0.3529 0.0088 0.7458
I 0.3529 0.3440 0.2542
I 0.6560 0.0088 0.2542
I 0.6560 0.6471 0.7458
I 0.9912 0.3440 0.7458
I 0.9912 0.6471 0.2542
CELL_PARAMETERS angstrom
7.8223 0.0000 0.0000
-3.9112 6.7743 0.0000
0.0000 0.0000 6.9429
! Space group: No. 149
! Fermi-level density of states in states/eV per atom: 2.06
! Offset from the most stable computed form in meV/atom: 13
! Formation energy without anion corrections in eV/f.u.: -7.24


[4]
! NaCeIO5, relaxed, DFT PBE; values from VASP
&SYSTEM
  ibrav = 0, nat = 16, ntyp = 4
/
ATOMIC_SPECIES
Na 22.99 Na.upf
Ce 140.12 Ce.upf
I 126.90 I.upf
O 16.00 O.upf
ATOMIC_POSITIONS crystal
Na 0.1834 0.8166 0.7500
Na 0.8166 0.1834 0.2500
Ce 0.5000 0.5000 0.0000
Ce 0.5000 0.5000 0.5000
I 0.1884 0.8116 0.2500
I 0.8116 0.1884 0.7500
O 0.1348 0.2240 0.8511
O 0.2195 0.7222 0.4655
O 0.2240 0.1348 0.3511
O 0.2778 0.7805 0.0345
O 0.4833 0.5167 0.7500
O 0.5167 0.4833 0.2500
O 0.7222 0.2195 0.9655
O 0.7760 0.8652 0.6489
O 0.7805 0.2778 0.5345
O 0.8652 0.7760 0.1489
CELL_PARAMETERS angstrom
4.2407 -4.4773 0.0000
4.2407 4.4773 0.0000
-4.1730 0.0000 7.5311
! Space group: No. 15
! Formation energy without anion corrections in eV/f.u.: -13.32


[5]
! NaCe2IO8, relaxed, DFT PBE; values from VASP
&SYSTEM
  ibrav = 0, nat = 12, ntyp = 4
/
ATOMIC_SPECIES
Na 22.99 Na.upf
Ce 140.12 Ce.upf
I 126.90 I.upf
O 16.00 O.upf
ATOMIC_POSITIONS crystal
Na 0.0000 0.0000 0.0000
Ce 0.5000 0.2428 0.5000
Ce 0.5000 0.7572 0.5000
I 0.0000 0.5000 0.0000
O 0.1841 0.3058 0.8171
O 0.1841 0.6942 0.8171
O 0.2747 0.5000 0.2762
O 0.3206 0.0000 0.3215
O 0.6794 0.0000 0.6785
O 0.7253 0.5000 0.7238
O 0.8159 0.3058 0.1829
O 0.8159 0.6942 0.1829
CELL_PARAMETERS angstrom
4.9964 0.0000 0.0000
0.0000 7.0973 0.0000
-0.0530 0.0000 4.9967
! Space group: No. 10
! Fermi-level density of states in states/eV per atom: 0.00
! Formation energy without anion corrections in eV/f.u.: -23.88


[6]
! Na2CeI2O2, relaxed, DFT PBE; values from VASP
&SYSTEM
  ibrav = 0, nat = 7, ntyp = 4
/
ATOMIC_SPECIES
Na 22.99 Na.upf
Ce 140.12 Ce.upf
I 126.90 I.upf
O 16.00 O.upf
ATOMIC_POSITIONS crystal
Na 0.0970 0.0970 0.0000
Na 0.9030 0.9030 0.0000
Ce 0.5000 0.5000 0.0000
I 0.3405 0.3405 0.0000
I 0.6595 0.6595 0.0000
O 0.0000 0.5000 0.5000
O 0.5000 0.0000 0.5000
CELL_PARAMETERS angstrom
-2.1848 2.1848 9.9572
2.1848 -2.1848 9.9572
2.1848 2.1848 -9.9572
! Space group: No. 139
! Fermi-level density of states in states/eV per atom: 0.00
! Formation energy without anion corrections in eV/f.u.: -13.99


[7]
! Na2CeIO6, relaxed, DFT PBE; values from VASP
&SYSTEM
  ibrav = 0, nat = 10, ntyp = 4
/
ATOMIC_SPECIES
Na 22.99 Na.upf
Ce 140.12 Ce.upf
I 126.90 I.upf
O 16.00 O.upf
ATOMIC_POSITIONS crystal
Na 0.0000 0.5000 0.0000
Na 0.5000 0.0000 0.0000
Ce 0.0000 0.0000 0.6015
I 0.5000 0.5000 0.6015
O 0.0000 0.0000 0.1158
O 0.2675 0.2675 0.6525
O 0.2675 0.7325 0.6525
O 0.5000 0.5000 0.1746
O 0.7325 0.2675 0.6525
O 0.7325 0.7325 0.6525
CELL_PARAMETERS angstrom
5.9598 0.0000 0.0000
0.0000 5.9598 0.0000
0.0000 0.0000 4.3414
! Space group: No. 99
! Fermi-level density of states in states/eV per atom: 0.21
! Formation energy without anion corrections in eV/f.u.: -16.06


[8]
! Na2CePbI8, relaxed, DFT PBE; values from VASP
&SYSTEM
  ibrav = 0, nat = 12, ntyp = 4
/
ATOMIC_SPECIES
Na 22.99 Na.upf
Ce 140.12 Ce.upf
Pb 207.20 Pb.upf
I 126.90 I.upf
ATOMIC_POSITIONS crystal
Na 0.0000 0.2428 0.0000
Na 0.0000 0.7572 0.0000
Ce 0.5000 0.5000 0.5000
Pb 0.5000 0.0000 0.5000
I 0.2377 0.0000 0.1600
I 0.2465 0.5000 0.1746
I 0.2705 0.2676 0.6505
I 0.2705 0.7324 0.6505
I 0.7295 0.2676 0.3495
I 0.7295 0.7324 0.3495
I 0.7535 0.5000 0.8254
I 0.7623 0.0000 0.8400
CELL_PARAMETERS angstrom
7.3609 0.0000 0.0000
0.0000 9.4397 0.0000
-0.5442 0.0000 7.7717
! Space group: No. 10
! Fermi-level density of states in states/eV per atom: 0.26
! Formation energy without anion corrections in eV/f.u.: -12.25


[9]
! RbNaCeI6, relaxed, DFT PBE; values from VASP
&SYSTEM
  ibrav = 0, nat = 18, ntyp = 4
/
ATOMIC_SPECIES
Rb 85.47 Rb.upf
Na 22.99 Na.upf
Ce 140.12 Ce.upf
I 126.90 I.upf
ATOMIC_POSITIONS crystal
Rb 0.0000 0.0000 0.0000
Rb 0.0000 0.0000 0.5000
Na 0.3333 0.6667 0.2500
Na 0.6667 0.3333 0.7500
Ce 0.3333 0.6667 0.7500
Ce 0.6667 0.3333 0.2500
I 0.0193 0.3766 0.6388
I 0.0193 0.6427 0.8612
I 0.3573 0.3766 0.8612
I 0.3573 0.9807 0.6388
I 0.3766 0.0193 0.1388
I 0.3766 0.3573 0.3612
I 0.6234 0.6427 0.6388
I 0.6234 0.9807 0.8612
I 0.6427 0.0193 0.3612
I 0.6427 0.6234 0.1388
I 0.9807 0.3573 0.1388
I 0.9807 0.6234 0.3612
CELL_PARAMETERS angstrom
8.1584 0.0000 0.0000
-4.0792 7.0654 0.0000
0.0000 0.0000 15.9961
! Space group: No. 163
! Formation energy without anion corrections in eV/f.u.: -11.28


[10]
! RbNaCe2I8, relaxed, DFT PBE; values from VASP
&SYSTEM
  ibrav = 0, nat = 12, ntyp = 4
/
ATOMIC_SPECIES
Rb 85.47 Rb.upf
Na 22.99 Na.upf
Ce 140.12 Ce.upf
I 126.90 I.upf
ATOMIC_POSITIONS crystal
Rb 0.0000 0.0000 0.0000
Na 0.0000 0.0000 0.5000
Ce 0.3333 0.6667 0.4088
Ce 0.6667 0.3333 0.5912
I 0.0648 0.3674 0.6621
I 0.3026 0.9352 0.6621
I 0.3333 0.6667 0.0817
I 0.3674 0.3026 0.3379
I 0.6326 0.6974 0.6621
I 0.6667 0.3333 0.9183
I 0.6974 0.0648 0.3379
I 0.9352 0.6326 0.3379
CELL_PARAMETERS angstrom
8.2630 0.0000 0.0000
-4.1315 7.1560 0.0000
0.0000 0.0000 9.3187
! Space group: No. 147
! Fermi-level density of states in states/eV per atom: 1.29
! Formation energy without anion corrections in eV/f.u.: -15.67


[11]
! RbNaCeI5, relaxed, DFT PBE; values from VASP
&SYSTEM
  ibrav = 0, nat = 16, ntyp = 4
/
ATOMIC_SPECIES
Rb 85.47 Rb.upf
Na 22.99 Na.upf
Ce 140.12 Ce.upf
I 126.90 I.upf
ATOMIC_POSITIONS crystal
Rb 0.1501 0.8499 0.7500
Rb 0.8499 0.1501 0.2500
Na 0.1876 0.8124 0.2500
Na 0.8124 0.1876 0.7500
Ce 0.5000 0.5000 0.0000
Ce 0.5000 0.5000 0.5000
I 0.1296 0.2420 0.9453
I 0.1903 0.5798 0.4028
I 0.2420 0.1296 0.4453
I 0.4202 0.8097 0.0972
I 0.4207 0.5793 0.7500
I 0.5793 0.4207 0.2500
I 0.5798 0.1903 0.9028
I 0.7580 0.8704 0.5547
I 0.8097 0.4202 0.5972
I 0.8704 0.7580 0.0547
CELL_PARAMETERS angstrom
5.1007 -7.3344 0.0000
5.1007 7.3344 0.0000
-4.4012 0.0000 11.0751
! Space group: No. 15
! Fermi-level density of states in states/eV per atom: 0.98
! Formation energy without anion corrections in eV/f.u.: -10.72


[12]
! Na2CeSnI8, relaxed, DFT PBE; values from VASP
&SYSTEM
  ibrav = 0, nat = 12, ntyp = 4
/
ATOMIC_SPECIES
Na 22.99 Na.upf
Ce 140.12 Ce.upf
Sn 118.71 Sn.upf
I 126.90 I.upf
ATOMIC_POSITIONS crystal
Na 0.0000 0.2444 0.0000
Na 0.0000 0.7556 0.0000
Ce 0.5000 0.5000 0.5000
Sn 0.5000 0.0000 0.5000
I 0.2381 0.0000 0.1664
I 0.2460 0.5000 0.1702
I 0.2741 0.2605 0.6487
I 0.2741 0.7395 0.6487
I 0.7259 0.2605 0.3513
I 0.7259 0.7395 0.3513
I 0.7540 0.5000 0.8298
I 0.7619 0.0000 0.8336
CELL_PARAMETERS angstrom
7.3252 0.0000 0.0000
0.0000 9.3950 0.0000
-0.5730 0.0000 7.7200
! Space group: No. 10
! Fermi-level density of states in states/eV per atom: 0.35
! Formation energy without anion corrections in eV/f.u.: -11.88